Below is a geometry-optimized KSr2Y structure, with properties calculated at the PBE level.

Values from the calculation:
Volume in Å³ per atom: 48.10
VASP energy in eV per atom: -2.428
SG: No. 6
M_tot in μB/cell: 0.00
DFT formation energy in eV per formula unit: 1.211

Cell and atoms, written as POSCAR:
```
KSr2Y
1.0
6.7146 0.0000 0.0000
0.0000 3.9004 -0.0689
0.0000 0.9100 7.3299
K Sr Y
1 2 1
Cartesian
3.3573 3.3970 5.5619 K
0.0000 1.0833 7.2246 Sr
3.3573 1.0330 2.0708 Sr
0.0000 2.6122 3.3641 Y
```